--- w ---
Entry from Alexandria: a relaxed structure of TePRh3 (PBE).

Cell lengths 4.459, 4.459, 4.459 Å; angles 90.00, 90.00, 90.00 degrees
Fractional positions:
Te: 0.000 0.000 0.000
P: 0.500 0.500 0.500
Rh: 0.000 0.500 0.500
Rh: 0.500 0.000 0.500
Rh: 0.500 0.500 0.000

Output
The calculated density is 8.75 g/cm3. The space group is Pm-3m, No. 221. As for the volume: 89 Å³ per cell.

--- x ---
Entry from Alexandria: a relaxed structure of TePRh3 (PBE).

Cell lengths 4.808, 4.808, 4.808 Å; angles 90.00, 90.00, 90.00 degrees
Fractional positions:
Te: 0.000 0.000 0.000
P: 0.500 0.500 0.500
Rh: 0.000 0.000 0.500
Rh: 0.000 0.500 0.000
Rh: 0.500 0.000 0.000

Output
The calculated density is 6.98 g/cm3. The space group is Pm-3m, No. 221. As for the volume: 111 Å³ per cell.

Stability summary - winner: w; margin: 1163 meV/atom.

--- w ---
Entry from Alexandria: a relaxed structure of Th3P2Rh7 (PBE).

Cell lengths 4.085, 4.097, 13.107 Å; angles 90.00, 90.00, 90.00 degrees
Fractional positions:
Th: 0.000 0.000 0.000
Th: 0.000 0.000 0.348
Th: 0.000 0.500 0.777
P: 0.500 0.000 0.530
P: 0.500 0.500 0.251
Rh: 0.000 0.000 0.615
Rh: 0.000 0.500 0.161
Rh: 0.500 0.000 0.161
Rh: 0.500 0.000 0.805
Rh: 0.500 0.500 0.427
Rh: 0.500 0.500 0.630
Rh: 0.500 0.500 0.988

Output
The calculated density is 11.19 g/cm3. The space group is Pmm2, No. 25. As for the volume: 219 Å³ per cell.

--- x ---
Entry from Alexandria: a relaxed structure of Th3P2Rh7 (PBE).

Cell lengths 13.818, 13.818, 13.818 Å; angles 163.23, 163.23, 23.81 degrees
Fractional positions:
Th: 0.000 0.000 0.000
Th: 0.174 0.174 0.000
Th: 0.826 0.826 0.000
P: 0.374 0.374 0.000
P: 0.626 0.626 0.000
Rh: 0.083 0.583 0.500
Rh: 0.287 0.287 0.000
Rh: 0.417 0.917 0.500
Rh: 0.500 0.500 0.000
Rh: 0.583 0.083 0.500
Rh: 0.713 0.713 0.000
Rh: 0.917 0.417 0.500

Output
The calculated density is 11.18 g/cm3. The space group is I4/mmm, No. 139. As for the volume: 220 Å³ per cell.

Stability summary - winner: x; margin: 29 meV/atom.

--- w ---
Entry from Alexandria: a relaxed structure of TiP3Rh (PBE).

Cell lengths 4.591, 4.591, 4.591 Å; angles 90.00, 90.00, 90.00 degrees
Fractional positions:
Ti: 0.000 0.000 0.000
P: 0.000 0.000 0.500
P: 0.000 0.500 0.000
P: 0.500 0.000 0.000
Rh: 0.500 0.500 0.500

Output
The calculated density is 4.18 g/cm3. The space group is Pm-3m, No. 221. As for the volume: 97 Å³ per cell.

--- x ---
Entry from Alexandria: a relaxed structure of TiP3Rh (PBE).

Cell lengths 4.562, 4.562, 4.562 Å; angles 90.00, 90.00, 90.00 degrees
Fractional positions:
Ti: 0.000 0.000 0.000
P: 0.000 0.500 0.500
P: 0.500 0.000 0.500
P: 0.500 0.500 0.000
Rh: 0.500 0.500 0.500

Output
The calculated density is 4.26 g/cm3. The space group is Pm-3m, No. 221. As for the volume: 95 Å³ per cell.

Stability summary - winner: x; margin: 15 meV/atom.

--- w ---
Entry from Alexandria: a relaxed structure of Ti3PRh (PBE).

Cell lengths 4.462, 4.462, 4.462 Å; angles 90.00, 90.00, 90.00 degrees
Fractional positions:
Ti: 0.000 0.000 0.500
Ti: 0.000 0.500 0.000
Ti: 0.500 0.000 0.000
P: 0.000 0.000 0.000
Rh: 0.500 0.500 0.500

Output
The calculated density is 5.19 g/cm3. The space group is Pm-3m, No. 221. As for the volume: 89 Å³ per cell.

--- x ---
Entry from Alexandria: a relaxed structure of Ti3PRh (PBE).

Cell lengths 4.656, 4.656, 4.656 Å; angles 90.00, 90.00, 90.00 degrees
Fractional positions:
Ti: 0.000 0.000 0.500
Ti: 0.000 0.500 0.000
Ti: 0.500 0.000 0.000
P: 0.500 0.500 0.500
Rh: 0.000 0.000 0.000

Output
The calculated density is 4.57 g/cm3. The space group is Pm-3m, No. 221. As for the volume: 101 Å³ per cell.

Stability summary - winner: w; margin: 520 meV/atom.

--- w ---
Entry from Alexandria: a relaxed structure of TiP2Rh (PBE).

Cell lengths 5.314, 5.314, 11.152 Å; angles 90.00, 90.00, 90.00 degrees
Fractional positions:
Ti: 0.000 0.000 0.000
Ti: 0.000 0.500 0.250
Ti: 0.500 0.000 0.750
Ti: 0.500 0.500 0.500
P: 0.228 0.250 0.625
P: 0.250 0.728 0.875
P: 0.250 0.772 0.375
P: 0.272 0.250 0.125
P: 0.728 0.750 0.125
P: 0.750 0.228 0.375
P: 0.750 0.272 0.875
P: 0.772 0.750 0.625
Rh: 0.000 0.000 0.500
Rh: 0.000 0.500 0.750
Rh: 0.500 0.000 0.250
Rh: 0.500 0.500 0.000

Output
The calculated density is 4.49 g/cm3. The space group is I-42d, No. 122. As for the volume: 315 Å³ per cell.

--- x ---
Entry from Alexandria: a relaxed structure of TiP2Rh (PBE).

Cell lengths 6.036, 6.036, 6.036 Å; angles 90.00, 90.00, 90.00 degrees
Fractional positions:
Ti: 0.000 0.000 0.000
Ti: 0.000 0.500 0.500
Ti: 0.500 0.000 0.500
Ti: 0.500 0.500 0.000
P: 0.250 0.250 0.250
P: 0.250 0.250 0.750
P: 0.250 0.750 0.250
P: 0.250 0.750 0.750
P: 0.750 0.250 0.250
P: 0.750 0.250 0.750
P: 0.750 0.750 0.250
P: 0.750 0.750 0.750
Rh: 0.000 0.000 0.500
Rh: 0.000 0.500 0.000
Rh: 0.500 0.000 0.000
Rh: 0.500 0.500 0.500

Output
The calculated density is 6.43 g/cm3. The space group is Fm-3m, No. 225. As for the volume: 220 Å³ per cell.

Stability summary - winner: x; margin: 131 meV/atom.

--- w ---
Entry from Alexandria: a relaxed structure of TlP2Rh2 (PBE).

Cell lengths 3.960, 3.960, 11.637 Å; angles 90.00, 90.00, 90.00 degrees
Fractional positions:
Tl: 0.000 0.000 0.000
Tl: 0.500 0.500 0.500
P: 0.000 0.500 0.250
P: 0.000 0.500 0.750
P: 0.500 0.000 0.250
P: 0.500 0.000 0.750
Rh: 0.000 0.000 0.357
Rh: 0.000 0.000 0.643
Rh: 0.500 0.500 0.143
Rh: 0.500 0.500 0.857

Output
The calculated density is 8.59 g/cm3. The space group is I4/mmm, No. 139. As for the volume: 182 Å³ per cell.

--- x ---
Entry from Alexandria: a relaxed structure of TlP2Rh2 (PBE).

Cell lengths 3.929, 3.929, 13.086 Å; angles 90.00, 90.00, 90.00 degrees
Fractional positions:
Tl: 0.000 0.000 0.000
Tl: 0.500 0.500 0.500
P: 0.000 0.000 0.348
P: 0.000 0.000 0.652
P: 0.500 0.500 0.152
P: 0.500 0.500 0.848
Rh: 0.000 0.500 0.250
Rh: 0.000 0.500 0.750
Rh: 0.500 0.000 0.250
Rh: 0.500 0.000 0.750

Output
The calculated density is 7.76 g/cm3. The space group is I4/mmm, No. 139. As for the volume: 202 Å³ per cell.

Stability summary - winner: x; margin: 293 meV/atom.

--- w ---
Entry from Alexandria: a relaxed structure of TmPRh3 (PBE).

Cell lengths 6.090, 6.090, 9.137 Å; angles 90.00, 90.00, 91.34 degrees
Fractional positions:
Tm: 0.001 0.999 0.750
Tm: 0.426 0.574 0.250
Tm: 0.574 0.426 0.750
Tm: 0.999 0.001 0.250
P: 0.000 0.500 0.000
P: 0.000 0.500 0.500
P: 0.500 0.000 0.000
P: 0.500 0.000 0.500
Rh: 0.098 0.523 0.750
Rh: 0.176 0.824 0.502
Rh: 0.176 0.824 0.998
Rh: 0.323 0.323 0.000
Rh: 0.323 0.323 0.500
Rh: 0.477 0.902 0.750
Rh: 0.523 0.098 0.250
Rh: 0.677 0.677 0.000
Rh: 0.677 0.677 0.500
Rh: 0.824 0.176 0.002
Rh: 0.824 0.176 0.498
Rh: 0.902 0.477 0.250

Output
The calculated density is 9.97 g/cm3. The space group is Cmcm, No. 63. As for the volume: 339 Å³ per cell.

--- x ---
Entry from Alexandria: a relaxed structure of TmPRh3 (PBE).

Cell lengths 4.432, 4.432, 4.432 Å; angles 90.00, 90.00, 90.00 degrees
Fractional positions:
Tm: 0.000 0.000 0.000
P: 0.500 0.500 0.500
Rh: 0.000 0.500 0.500
Rh: 0.500 0.000 0.500
Rh: 0.500 0.500 0.000

Output
The calculated density is 9.70 g/cm3. The space group is Pm-3m, No. 221. As for the volume: 87 Å³ per cell.

Stability summary - winner: w; margin: 72 meV/atom.

--- w ---
Entry from Alexandria: a relaxed structure of VPRh3 (PBE).

Cell lengths 4.471, 4.471, 4.471 Å; angles 90.00, 90.00, 90.00 degrees
Fractional positions:
V: 0.000 0.000 0.000
P: 0.500 0.500 0.500
Rh: 0.000 0.000 0.500
Rh: 0.000 0.500 0.000
Rh: 0.500 0.000 0.000

Output
The calculated density is 7.26 g/cm3. The space group is Pm-3m, No. 221. As for the volume: 89 Å³ per cell.

--- x ---
Entry from Alexandria: a relaxed structure of VPRh3 (PBE).

Cell lengths 4.350, 4.350, 4.350 Å; angles 90.00, 90.00, 90.00 degrees
Fractional positions:
V: 0.000 0.000 0.000
P: 0.500 0.500 0.500
Rh: 0.000 0.500 0.500
Rh: 0.500 0.000 0.500
Rh: 0.500 0.500 0.000

Output
The calculated density is 7.88 g/cm3. The space group is Pm-3m, No. 221. As for the volume: 82 Å³ per cell.

Stability summary - winner: x; margin: 864 meV/atom.

--- w ---
Entry from Alexandria: a relaxed structure of PRh3W (PBE).

Cell lengths 4.352, 4.352, 4.352 Å; angles 90.00, 90.00, 90.00 degrees
Fractional positions:
P: 0.000 0.000 0.000
Rh: 0.000 0.000 0.500
Rh: 0.000 0.500 0.000
Rh: 0.500 0.000 0.000
W: 0.500 0.500 0.500

Output
The calculated density is 10.55 g/cm3. The space group is Pm-3m, No. 221. As for the volume: 82 Å³ per cell.

--- x ---
Entry from Alexandria: a relaxed structure of PRh3W (PBE).

Cell lengths 4.691, 4.691, 4.691 Å; angles 90.00, 90.00, 90.00 degrees
Fractional positions:
P: 0.000 0.000 0.000
Rh: 0.000 0.500 0.500
Rh: 0.500 0.000 0.500
Rh: 0.500 0.500 0.000
W: 0.500 0.500 0.500

Output
The calculated density is 8.42 g/cm3. The space group is Pm-3m, No. 221. As for the volume: 103 Å³ per cell.

Stability summary - winner: w; margin: 843 meV/atom.

--- w ---
Entry from Alexandria: a relaxed structure of PRhW3 (PBE).

Cell lengths 4.702, 4.702, 4.702 Å; angles 90.00, 90.00, 90.00 degrees
Fractional positions:
P: 0.000 0.000 0.000
Rh: 0.500 0.500 0.500
W: 0.000 0.500 0.500
W: 0.500 0.000 0.500
W: 0.500 0.500 0.000

Output
The calculated density is 10.95 g/cm3. The space group is Pm-3m, No. 221. As for the volume: 104 Å³ per cell.

--- x ---
Entry from Alexandria: a relaxed structure of PRhW3 (PBE).

Cell lengths 4.409, 4.409, 4.409 Å; angles 90.00, 90.00, 90.00 degrees
Fractional positions:
P: 0.000 0.000 0.000
Rh: 0.500 0.500 0.500
W: 0.000 0.000 0.500
W: 0.000 0.500 0.000
W: 0.500 0.000 0.000

Output
The calculated density is 13.28 g/cm3. The space group is Pm-3m, No. 221. As for the volume: 86 Å³ per cell.

Stability summary - winner: x; margin: 1274 meV/atom.

--- w ---
Entry from Alexandria: a relaxed structure of YP2Rh (PBE).

Cell lengths 4.442, 4.442, 15.885 Å; angles 90.00, 90.00, 90.00 degrees
Fractional positions:
Y: 0.000 0.000 0.000
Y: 0.000 0.500 0.250
Y: 0.500 0.000 0.750
Y: 0.500 0.500 0.500
P: 0.114 0.250 0.625
P: 0.250 0.614 0.875
P: 0.250 0.886 0.375
P: 0.386 0.250 0.125
P: 0.614 0.750 0.125
P: 0.750 0.114 0.375
P: 0.750 0.386 0.875
P: 0.886 0.750 0.625
Rh: 0.000 0.000 0.500
Rh: 0.000 0.500 0.750
Rh: 0.500 0.000 0.250
Rh: 0.500 0.500 0.000

Output
The calculated density is 5.38 g/cm3. The space group is I-42d, No. 122. As for the volume: 313 Å³ per cell.

--- x ---
Entry from Alexandria: a relaxed structure of YP2Rh (PBE).

Cell lengths 6.520, 6.520, 6.520 Å; angles 90.00, 90.00, 90.00 degrees
Fractional positions:
Y: 0.000 0.000 0.000
Y: 0.000 0.500 0.500
Y: 0.500 0.000 0.500
Y: 0.500 0.500 0.000
P: 0.000 0.000 0.500
P: 0.000 0.500 0.000
P: 0.250 0.250 0.250
P: 0.250 0.750 0.750
P: 0.500 0.000 0.000
P: 0.500 0.500 0.500
P: 0.750 0.250 0.750
P: 0.750 0.750 0.250
Rh: 0.250 0.250 0.750
Rh: 0.250 0.750 0.250
Rh: 0.750 0.250 0.250
Rh: 0.750 0.750 0.750

Output
The calculated density is 6.08 g/cm3. The space group is F-43m, No. 216. As for the volume: 277 Å³ per cell.

--- y ---
Entry from Alexandria: a relaxed structure of YP2Rh (PBE).

Cell lengths 4.050, 5.834, 6.219 Å; angles 90.00, 90.00, 90.00 degrees
Fractional positions:
Y: 0.000 0.000 0.000
Y: 0.500 0.500 0.000
P: 0.000 0.500 0.298
P: 0.000 0.500 0.702
P: 0.500 0.000 0.298
P: 0.500 0.000 0.702
Rh: 0.000 0.000 0.500
Rh: 0.500 0.500 0.500

Output
The calculated density is 5.73 g/cm3. The space group is Cmmm, No. 65. As for the volume: 147 Å³ per cell.

Stability summary - winner: w; margin: 169 meV/atom.

--- w ---
Entry from Alexandria: a relaxed structure of ZnPRh2 (PBE).

Cell lengths 6.679, 6.679, 5.478 Å; angles 90.00, 90.00, 90.00 degrees
Fractional positions:
Zn: 0.000 0.000 0.000
Zn: 0.000 0.500 0.250
Zn: 0.500 0.000 0.750
Zn: 0.500 0.500 0.500
P: 0.000 0.000 0.500
P: 0.000 0.500 0.750
P: 0.500 0.000 0.250
P: 0.500 0.500 0.000
Rh: 0.188 0.250 0.625
Rh: 0.250 0.688 0.875
Rh: 0.250 0.812 0.375
Rh: 0.312 0.250 0.125
Rh: 0.688 0.750 0.125
Rh: 0.750 0.188 0.375
Rh: 0.750 0.312 0.875
Rh: 0.812 0.750 0.625

Output
The calculated density is 8.21 g/cm3. The space group is I-42d, No. 122. As for the volume: 244 Å³ per cell.

--- x ---
Entry from Alexandria: a relaxed structure of ZnPRh2 (PBE).

Cell lengths 2.937, 2.937, 22.667 Å; angles 90.00, 90.00, 120.00 degrees
Fractional positions:
Zn: 0.000 0.000 0.000
Zn: 0.333 0.667 0.667
Zn: 0.667 0.333 0.333
P: 0.000 0.000 0.500
P: 0.333 0.667 0.167
P: 0.667 0.333 0.833
Rh: 0.000 0.000 0.240
Rh: 0.000 0.000 0.760
Rh: 0.333 0.667 0.426
Rh: 0.333 0.667 0.907
Rh: 0.667 0.333 0.093
Rh: 0.667 0.333 0.574

Output
The calculated density is 8.89 g/cm3. The space group is R-3m, No. 166. As for the volume: 169 Å³ per cell.

Stability summary - winner: x; margin: 109 meV/atom.